The following is a DFT calculation (PBE) of a relaxed structure of CeNiAg.

abc: 3.568 16.983 3.930
angles: 90.00 90.00 90.00
Space group Cmcm (No. 63)
Unique sites:
1 Ce 0.000 0.098 0.250 x4
2 Ni 0.000 0.451 0.250 x4
3 Ag 0.000 0.289 0.250 x4

Summary:
For the energy above the most stable polymorph in this dataset, the calculation gives 0 kJ/mol of formula units. The calculation puts the formation energy at -289.3 meV per atom. As for the magnetization: 0.0 μB per formula unit.

The following is a DFT calculation (PBE) of a relaxed structure of AlHgBi2.

abc: 7.545 7.545 7.545
angles: 90.00 90.00 90.00
Space group Fm-3m (No. 225)
Unique sites:
1 Al 0.000 0.000 0.000 x4
2 Hg 0.000 0.000 0.500 x4
3 Bi 0.250 0.250 0.250 x8

Summary:
For the energy above the most stable polymorph in this dataset, the calculation gives 37 kJ/mol of formula units. The calculation puts the formation energy at 220.7 meV per atom. As for the magnetization: 0.0 μB per formula unit.

The following is a DFT calculation (PBE) of a relaxed structure of CaPr2YS4.

abc: 6.959 4.005 7.056
angles: 90.00 108.98 90.00
Space group P2/m (No. 10)
Unique sites:
1 Ca 0.000 0.000 0.000 x1
2 Pr 0.000 0.500 0.500 x1
3 Pr 0.500 0.000 0.500 x1
4 Y 0.500 0.500 0.000 x1
5 S 0.248 0.500 0.236 x2
6 S 0.257 0.000 0.766 x2

Summary:
Its uncorrected formation energy is -2034 meV/atom. As for the magnetization: 0.0 μB per formula unit.

Repeat the first record exactly.
The following is a DFT calculation (PBE) of a relaxed structure of CeNiAg.

abc: 3.568 16.983 3.930
angles: 90.00 90.00 90.00
Space group Cmcm (No. 63)
Unique sites:
1 Ce 0.000 0.098 0.250 x4
2 Ni 0.000 0.451 0.250 x4
3 Ag 0.000 0.289 0.250 x4

Summary:
For the energy above the most stable polymorph in this dataset, the calculation gives 0 kJ/mol of formula units. The calculation puts the formation energy at -289.3 meV per atom. As for the magnetization: 0.0 μB per formula unit.